Al2AgPt PBE-GGA optimized geometry; SG = P4mm (99); energy above the lowest structure with this stoichiometry = 0.192 eV/atom; formation energy = -32.1 kJ per mole of atoms; ρ = 9.16 Mg/m³
1.0
2.881 0.003 0.000
-0.004 2.881 0.000
0.000 0.000 7.795
Al Pt Ag
2 1 1
Direct
0.000 0.000 0.008
0.500 0.500 0.268
0.000 0.000 0.471
0.500 0.500 0.753